(1)
VASP calculation (PBE) on an optimized crystal structure of AcTmSiHg.

```
AcTmSiHg
1.0
-2.4568 1.3599 -4.5402
2.2911 -1.0754 -4.7003
-2.0463 -3.7817 -3.1638
Si Hg Ac Tm
1 1 1 1
Direct
0.7500 0.7500 0.7500 Si
0.2500 0.2500 0.2500 Hg
0.0000 0.0000 0.0000 Ac
0.5000 0.5000 0.5000 Tm
```

Computed properties:
- DOS(E_F) (states/eV per atom) = 1.05
- spin magnetization (μB per cell) = 0.00
- formation energy (no corrections) (meV/atom) = -354.8


(2)
VASP calculation (PBE) on an optimized crystal structure of Ac3SmHg6.

```
Ac3SmHg6
1.0
-1.9493 -7.8730 -1.2856
5.9337 -5.5948 -0.9624
1.3723 -5.5804 5.8662
Sm Hg Ac
1 6 3
Direct
0.0000 0.0000 0.0000 Sm
0.7565 0.2435 0.7565 Hg
0.2435 0.2435 0.7565 Hg
0.7565 0.2435 0.2435 Hg
0.2435 0.7565 0.2435 Hg
0.2435 0.7565 0.7565 Hg
0.7565 0.7565 0.2435 Hg
0.7500 0.7500 0.7500 Ac
0.2500 0.2500 0.2500 Ac
0.5000 0.5000 0.5000 Ac
```

Computed properties:
- DOS(E_F) (states/eV per atom) = 1.01
- ΔE to the lowest computed polymorph (meV per atom) = 578
- ΔH_f (0 K) (eV per atom) = 0.151
- spin magnetization (μB per cell) = 0.00


(3)
VASP calculation (PBE) on an optimized crystal structure of Ac2Sm12Hg7.

```
Ac2Sm12Hg7
1.0
-3.7027 0.0271 0.6547
-2.3520 3.8377 -13.4601
0.5135 -13.7519 3.4721
Hg Sm Ac
7 12 2
Direct
0.0000 0.0377 0.8154 Hg
0.0000 0.1846 0.2223 Hg
0.5000 0.4774 0.1254 Hg
0.5000 0.8746 0.3519 Hg
0.5000 0.6481 0.5226 Hg
0.0000 0.3333 0.6667 Hg
0.0000 0.7777 0.9623 Hg
0.5000 0.2107 0.7707 Sm
0.5000 0.3881 0.2982 Sm
0.0000 0.7680 0.7326 Sm
0.5000 0.2293 0.4400 Sm
0.5000 0.5600 0.7893 Sm
0.0000 0.0682 0.5233 Sm
0.5000 0.9101 0.6119 Sm
0.0000 0.9645 0.2320 Sm
0.5000 0.7018 0.0899 Sm
0.0000 0.2674 0.0355 Sm
0.0000 0.4550 0.9318 Sm
0.0000 0.4767 0.5450 Sm
0.0000 0.6667 0.3333 Ac
0.5000 0.0000 0.0000 Ac
```

Computed properties:
- DOS(E_F) (states/eV per atom) = 1.06
- ΔH_f (0 K) (eV per atom) = -0.261
- spin magnetization (μB per cell) = 0.00


(4)
VASP calculation (PBE) on an optimized crystal structure of AcSm2Hg3.

```
AcSm2Hg3
1.0
5.4541 0.0000 0.0219
2.7271 8.2102 0.0110
-0.0312 0.0000 7.8269
Ac Sm Hg
2 4 6
Direct
0.3355 0.3289 0.0000 Ac
0.6645 0.6711 0.0000 Ac
0.0000 0.0000 0.0000 Sm
0.6696 0.6608 0.5000 Sm
0.0000 0.0000 0.5000 Sm
0.3304 0.3392 0.5000 Sm
0.1616 0.6769 0.2689 Hg
0.5000 0.0000 0.2695 Hg
0.5000 0.0000 0.7305 Hg
0.8384 0.3231 0.7311 Hg
0.8385 0.3231 0.2689 Hg
0.1615 0.6769 0.7311 Hg
```

Computed properties:
- DOS(E_F) (states/eV per atom) = 1.17
- ΔE to the lowest computed polymorph (meV per atom) = 5
- ΔH_f (0 K) (eV per atom) = -0.457
- spin magnetization (μB per cell) = 2.11